No. 1
ScTc2Ag | GGA-PBE | optimized geometry

abc: 5.4229 5.4229 2.7448
angles: 100.35 100.35 119.50
Closest atoms and distances in Å follow each position.
Fractional positions:
Sc  0.0000  0.0000  0.0000  2 Ag 2.73, 2 Sc 2.74, 4 Tc 2.81
Tc  0.0000  0.5000  0.5000  4 Tc 2.73-2.74, 2 Ag 2.81, 2 Sc 2.81
Tc  0.5000  0.0000  0.5000  4 Tc 2.73-2.74, 2 Ag 2.81, 2 Sc 2.81
Ag  0.5000  0.5000  0.0000  2 Sc 2.73, 2 Ag 2.74, 4 Tc 2.81

Calculated values
Calculated formation energy: 210 meV/atom
Relative energy among the computed polymorphs: 240 meV per atom
Total DFT energy (no corrections): -29.1 eV per formula unit
D(E_F): 3.34 states/eV per cell

***

No. 2
Sc2TcAg | GGA-PBE | optimized geometry

abc: 2.9415 2.9415 9.2765
angles: 90.00 90.00 105.79
Closest atoms and distances in Å follow each position.
Fractional positions:
Sc  0.0000  0.0000  0.0000  2 Ag 2.88, 4 Sc 2.94
Sc  0.5000  0.5000  0.3043  2 Tc 2.65, 4 Sc 2.94
Tc  0.0000  0.0000  0.5164  2 Sc 2.65, 2 Ag 2.84, 4 Tc 2.94
Ag  0.5000  0.5000  0.7549  2 Tc 2.84, 2 Sc 2.88, 4 Ag 2.94

Calculated values
Calculated formation energy: 195 meV/atom
Relative energy among the computed polymorphs: 508 meV per atom
Total DFT energy (no corrections): -25.1 eV per formula unit
D(E_F): 5.06 states/eV per cell

***

No. 3
ScTcAg4 | GGA-PBE | optimized geometry

abc: 5.3818 5.3818 5.3818
angles: 60.00 60.00 60.00
Closest atoms and distances in Å follow each position.
Fractional positions:
Sc  0.0000  0.0000  0.0000  12 Ag 3.16, 4 Tc 3.30
Tc  0.7500  0.7500  0.7500  12 Ag 3.15, 4 Sc 3.30
Ag  0.3752  0.3752  0.3752  6 Ag 2.69
Ag  0.3752  0.3752  0.8745  6 Ag 2.69
Ag  0.3752  0.8745  0.3752  6 Ag 2.69
Ag  0.8745  0.3752  0.3752  6 Ag 2.69

Calculated values
Calculated formation energy: 361 meV/atom
Total DFT energy (no corrections): -25.9 eV per formula unit
D(E_F): 4.29 states/eV per cell

***

Please write out number 1 again, unchanged.
ScTc2Ag | GGA-PBE | optimized geometry

abc: 5.4229 5.4229 2.7448
angles: 100.35 100.35 119.50
Closest atoms and distances in Å follow each position.
Fractional positions:
Sc  0.0000  0.0000  0.0000  2 Ag 2.73, 2 Sc 2.74, 4 Tc 2.81
Tc  0.0000  0.5000  0.5000  4 Tc 2.73-2.74, 2 Ag 2.81, 2 Sc 2.81
Tc  0.5000  0.0000  0.5000  4 Tc 2.73-2.74, 2 Ag 2.81, 2 Sc 2.81
Ag  0.5000  0.5000  0.0000  2 Sc 2.73, 2 Ag 2.74, 4 Tc 2.81

Calculated values
Calculated formation energy: 210 meV/atom
Relative energy among the computed polymorphs: 240 meV per atom
Total DFT energy (no corrections): -29.1 eV per formula unit
D(E_F): 3.34 states/eV per cell

***

The lowest calculated formation energy belongs to which entry? Sc2TcAg

***

Look up the total DFT energy (no corrections) of the first one. -29.1 eV per formula unit

***

Which of these has the lowest calculated formation energy? Sc2TcAg